The following is a PBE calculation of LaZr3Mn after structural relaxation, from the Alexandria database.

Formation energy (kJ/mol of formula units): 101.1
Energy relative to the lowest polymorph listed for this composition (meV per atom): 0
Size of the total moment (μB per atom): 0.00

Geometry as CIF:
```
data_LaZr3Mn
_chemical_formula_sum 'La1 Zr3 Mn1'
_cell_length_a 4.994
_cell_length_b 4.994
_cell_length_c 4.994
_cell_angle_alpha 90.00
_cell_angle_beta 90.00
_cell_angle_gamma 90.00
_symmetry_space_group_name_H-M 'P m -3 m'
_symmetry_Int_Tables_number 221
_symmetry_space_group_name_Hall '-P 4 2 3'
loop_
_atom_site_label
_atom_site_type_symbol
_atom_site_fract_x
_atom_site_fract_y
_atom_site_fract_z
La1 La 0.000 0.000 0.000
Zr1 Zr 0.000 0.500 0.500
Mn1 Mn 0.500 0.500 0.500
```